Compound: Cr5Te8
Source: Alexandria via LeMat-Bulk
Functional: PBEsol
Structure: relaxed

Output
The value obtained for the formation energy from raw total energies is -0.15 eV per atom. As for the energy: -6.26 eV per atom.

Cell: 7.0854 7.0854 7.7373 Å, 105.43 106.39 113.66°
With the nearest neighbours (Å) after each atom.
Fractional coordinates of all 13 atoms:
Te: 0.7817 0.5528 0.3345  3 Cr 2.64-2.65
Te: 0.2107 0.4583 0.1703  4 Cr 2.68-2.72
Te: 0.7120 0.9596 0.1703  4 Cr 2.68-2.72
Te: 0.2880 0.0404 0.8297  4 Cr 2.68-2.72
Te: 0.7015 0.9675 0.6690  4 Cr 2.71-2.76
Te: 0.2985 0.0325 0.3310  4 Cr 2.71-2.76
Cr: 0.0000 0.0000 0.0000  6 Te 2.69-2.71
Te: 0.7893 0.5417 0.8297  4 Cr 2.68-2.72
Cr: 0.2321 0.7321 0.5000  6 Te 2.65-2.74
Te: 0.2183 0.4472 0.6655  3 Cr 2.64-2.65
Cr: 0.2525 0.7349 0.9874  6 Te 2.64-2.76
Cr: 0.7475 0.2651 0.0126  6 Te 2.64-2.76
Cr: 0.7679 0.2679 0.5000  6 Te 2.65-2.74

---

Compound: Rb3HfTl
Source: Alexandria via LeMat-Bulk
Functional: PBEsol
Structure: relaxed

Output
The value obtained for the energy relative to the elements is 1.310 eV/atom. As for the energy: -1.93 eV per atom.

Cell: 6.8130 6.8130 6.8130 Å, 90.00 90.00 90.00°
With the nearest neighbours (Å) after each atom.
Fractional coordinates of all 5 atoms:
Rb: 0.5000 0.0000 0.0000  2 Hf 3.41
Rb: 0.0000 0.5000 0.0000  2 Hf 3.41
Tl: 0.5000 0.5000 0.5000  12 Rb 4.82
Rb: 0.0000 0.0000 0.5000  2 Hf 3.41
Hf: 0.0000 0.0000 0.0000  6 Rb 3.41

---

Compound: Ta2BeTlMo
Source: Alexandria via LeMat-Bulk
Functional: PBEsol
Structure: relaxed

Output
The value obtained for the energy relative to the elements is 2.843 eV/atom. As for the energy: -5.86 eV per atom.

Cell: 4.9060 4.9828 4.9828 Å, 90.00 90.00 90.00°
With the nearest neighbours (Å) after each atom.
Fractional coordinates of all 5 atoms:
Be: 0.5000 0.5000 0.5000  8 Ta 3.50, 4 Mo 3.52
Tl: 0.0000 0.0000 0.0000  2 Mo 2.45, 4 Ta 2.49
Ta: 0.0000 0.5000 0.0000  2 Tl 2.49
Mo: 0.5000 0.0000 0.0000  2 Tl 2.45
Ta: 0.0000 0.0000 0.5000  2 Tl 2.49

---

Compound: MgZr2Au
Source: Alexandria via LeMat-Bulk
Functional: PBEsol
Structure: relaxed

Output
The value obtained for the energy relative to the elements is -0.213 eV/atom. As for the energy: -6.17 eV per atom.

Cell: 3.2222 5.1584 5.1584 Å, 112.22 90.00 90.00°
With the nearest neighbours (Å) after each atom.
Fractional coordinates of all 4 atoms:
Zr: 0.0000 0.0000 0.5000  2 Zr 2.88, 4 Au 3.04, 4 Mg 3.04
Au: 0.5000 0.0000 0.0000  2 Mg 2.88, 8 Zr 3.04
Zr: 0.0000 0.5000 0.0000  2 Zr 2.88, 4 Mg 3.04, 4 Au 3.04
Mg: 0.5000 0.5000 0.5000  2 Au 2.88, 8 Zr 3.04

---

Compound: Cr2SiHg
Source: Alexandria via LeMat-Bulk
Functional: PBEsol
Structure: relaxed

Output
The value obtained for the formation energy from raw total energies is 0.45 eV per atom. As for the energy: -6.25 eV per atom.

Cell: 4.3529 4.3529 4.3529 Å, 60.00 60.00 60.00°
With the nearest neighbours (Å) after each atom.
Fractional coordinates of all 4 atoms:
Cr: 0.2500 0.2500 0.2500  4 Hg 2.67, 4 Si 2.67
Hg: 0.0000 0.0000 0.0000  8 Cr 2.67
Si: 0.5000 0.5000 0.5000  8 Cr 2.67
Cr: 0.7500 0.7500 0.7500  4 Hg 2.67, 4 Si 2.67

---

Compound: K2YRu
Source: Alexandria via LeMat-Bulk
Functional: PBEsol
Structure: relaxed

Output
The value obtained for the energy relative to the elements is 0.871 eV/atom. As for the energy: -3.94 eV per atom.

Cell: 3.6439 4.6221 7.0149 Å, 108.52 104.17 92.60°
With the nearest neighbours (Å) after each atom.
Fractional coordinates of all 4 atoms:
Ru: 0.5000 0.0000 0.0000  4 Y 2.88-3.01
K: 0.0000 0.0000 0.5000  4 K 2.88-3.01
K: 0.5000 0.5000 0.5000  4 K 2.88-3.01
Y: 0.0000 0.5000 0.0000  4 Ru 2.88-3.01

---

Compound: ReIr2Cl
Source: Alexandria via LeMat-Bulk
Functional: PBEsol
Structure: relaxed

Output
The calculation puts the energy above the most stable polymorph in this dataset at 0.1893 eV/atom. The value obtained for the formation energy from raw total energies is 0.50 eV per atom. As for the energy: -8.24 eV per atom.

Cell: 2.7601 4.5618 6.3879 Å, 94.65 90.00 107.61°
With the nearest neighbours (Å) after each atom.
Fractional coordinates of all 4 atoms:
Re: 0.4718 0.9436 0.5813  2 Cl 2.43, 5 Ir 2.55-2.59
Cl: 0.8922 0.7843 0.2783  1 Ir 2.39, 2 Re 2.43
Ir: 0.9332 0.8665 0.9137  1 Cl 2.39, 2 Re 2.58, 2 Ir 2.63
Ir: 0.2028 0.4056 0.7267  3 Re 2.55-2.59, 5 Ir 2.63-2.76

---

Compound: BaZrMnCr2
Source: Alexandria via LeMat-Bulk
Functional: PBEsol
Structure: relaxed

Output
The value obtained for the energy relative to the elements is 2.272 eV/atom. As for the energy: -6.02 eV per atom.

Cell: 4.8145 4.8145 4.7580 Å, 90.00 90.00 90.00°
With the nearest neighbours (Å) after each atom.
Fractional coordinates of all 5 atoms:
Cr: 0.5000 0.0000 0.0000  2 Ba 2.41
Mn: 0.0000 0.0000 0.5000  2 Ba 2.38
Ba: 0.0000 0.0000 0.0000  2 Mn 2.38, 4 Cr 2.41
Cr: 0.0000 0.5000 0.0000  2 Ba 2.41
Zr: 0.5000 0.5000 0.5000  8 Cr 3.38, 4 Mn 3.40

---

Compound: TmCoB4
Source: Alexandria via LeMat-Bulk
Functional: PBEsol
Structure: relaxed

Output
The value obtained for the energy relative to the elements is -0.696 eV/atom. As for the energy: -7.48 eV per atom.

Cell: 3.2900 5.8227 11.2780 Å, 90.00 90.00 90.00°
With the nearest neighbours (Å) after each atom.
Fractional coordinates of all 24 atoms:
B: 0.0000 0.6376 0.0325  3 B 1.71-1.78
Co: 0.5000 0.1346 0.9107  10 B 2.15-2.25
B: 0.0000 0.3882 0.5464  3 B 1.67-1.72
B: 0.0000 0.7840 0.6850  3 B 1.78-1.79
Tm: 0.5000 0.8715 0.3502  14 B 2.52-2.65
B: 0.0000 0.4771 0.6916  3 B 1.72-1.79
Tm: 0.5000 0.3715 0.1498  14 B 2.52-2.65
B: 0.0000 0.2840 0.8150  3 B 1.78-1.79
B: 0.0000 0.8624 0.5325  3 B 1.71-1.78
B: 0.0000 0.3624 0.9675  3 B 1.71-1.78
Tm: 0.5000 0.1285 0.6498  14 B 2.52-2.65
B: 0.0000 0.8882 0.9536  3 B 1.67-1.72
B: 0.0000 0.7160 0.1850  3 B 1.78-1.79
B: 0.0000 0.1118 0.0464  3 B 1.67-1.72
B: 0.0000 0.5229 0.3084  3 B 1.72-1.79
B: 0.0000 0.6118 0.4536  3 B 1.67-1.72
Co: 0.5000 0.6346 0.5893  10 B 2.15-2.25
B: 0.0000 0.2160 0.3150  3 B 1.78-1.79
Co: 0.5000 0.8654 0.0893  10 B 2.15-2.25
B: 0.0000 0.1376 0.4675  3 B 1.71-1.78
Co: 0.5000 0.3654 0.4107  10 B 2.15-2.25
B: 0.0000 0.9771 0.8084  3 B 1.72-1.79
B: 0.0000 0.0229 0.1916  3 B 1.72-1.79
Tm: 0.5000 0.6285 0.8502  14 B 2.52-2.65

---

Compound: Hg2BF
Source: Alexandria via LeMat-Bulk
Functional: PBEsol
Structure: relaxed

Output
The value obtained for the formation energy from raw total energies is 0.07 eV per atom. As for the energy: -2.45 eV per atom.

Cell: 5.6217 6.3573 5.6217 Å, 63.76 90.00 116.24°
With the nearest neighbours (Å) after each atom.
Fractional coordinates of all 8 atoms:
Hg: 0.8750 0.2500 0.5782  2 B 2.20
Hg: 0.3750 0.2500 0.1718  2 B 2.20
B: 0.5000 0.0000 0.5000  4 Hg 2.20
F: 0.0000 0.0000 0.0000  4 Hg 2.51
Hg: 0.5782 0.7500 0.3750  2 B 2.20
B: 0.2500 0.5000 0.2500  4 Hg 2.20
F: 0.7500 0.5000 0.7500  4 Hg 2.51
Hg: 0.1718 0.7500 0.8750  2 B 2.20

---

Compound: BiPdF3
Source: Alexandria via LeMat-Bulk
Functional: PBEsol
Structure: relaxed

Output
The value obtained for the formation energy from raw total energies is -1.20 eV per atom. As for the energy: -4.41 eV per atom.

Cell: 4.5062 4.5062 4.5062 Å, 90.00 90.00 90.00°
With the nearest neighbours (Å) after each atom.
Fractional coordinates of all 5 atoms:
Bi: 0.0000 0.0000 0.0000  6 F 2.25
F: 0.0000 0.0000 0.5000  2 Bi 2.25
Pd: 0.5000 0.5000 0.5000  12 F 3.19
F: 0.5000 0.0000 0.0000  2 Bi 2.25
F: 0.0000 0.5000 0.0000  2 Bi 2.25

---

Compound: TiBeHSe2
Source: Alexandria via LeMat-Bulk
Functional: PBEsol
Structure: relaxed

Output
As for the energy: -4.66 eV per atom.

Cell: 3.3042 4.4996 4.4996 Å, 90.00 90.00 90.00°
With the nearest neighbours (Å) after each atom.
Fractional coordinates of all 5 atoms:
Ti: 0.5000 0.0000 0.0000  2 H 1.65
Se: 0.0000 0.0000 0.5000  2 H 2.25
H: 0.0000 0.0000 0.0000  2 Ti 1.65
Be: 0.5000 0.5000 0.5000  8 Se 2.79
Se: 0.0000 0.5000 0.0000  2 H 2.25

---

Look up the energy of the first one.
-6.26 eV per atom

---

energy of number 11 (BiPdF3)?
-4.41 eV per atom